The following is a PBE-GGA calculation of MgZn2Cu2 after structural relaxation, from the Alexandria database.

Lattice parameters (Å, degrees): 5.1126 5.1126 7.0744 71.26 71.26 56.36
Positions (direct):
Cu1 0.5107 0.8858 0.8494
Cu2 0.8858 0.5107 0.3494
Cu3 0.1142 0.4893 0.6506
Cu4 0.4893 0.1142 0.1506
Zn1 0.2559 0.9658 0.5442
Zn2 0.0342 0.7441 0.9558
Zn3 0.9658 0.2559 0.0442
Zn4 0.7441 0.0342 0.4558
Mg1 0.3588 0.6412 0.2500
Mg2 0.6412 0.3588 0.7500

Calculated values
ΔE_f in eV per formula unit: -0.42
Space-group type: C2/c
M_tot in μB per atom: 0.00
Crystal system: monoclinic


The following is a PBE-GGA calculation of MgZnCu2 after structural relaxation, from the Alexandria database.

Lattice parameters (Å, degrees): 3.4898 3.4898 10.0727 90.00 90.00 90.00
Positions (direct):
Zn1 0.5000 0.0000 0.6812
Zn2 0.0000 0.5000 0.3188
Mg1 0.0000 0.5000 0.8043
Mg2 0.5000 0.0000 0.1957
Cu1 0.5000 0.0000 0.9348
Cu2 0.0000 0.0000 0.5000
Cu3 0.5000 0.5000 0.5000
Cu4 0.0000 0.5000 0.0652

Calculated values
ΔE_f in eV per formula unit: 0.10
Space-group type: P4/nmm
M_tot in μB per atom: 0.00
Crystal system: tetragonal


The following is a PBE-GGA calculation of MgZn4Cu after structural relaxation, from the Alexandria database.

Lattice parameters (Å, degrees): 5.0627 5.0627 5.0627 60.00 60.00 60.00
Positions (direct):
Zn1 0.1266 0.6245 0.6245
Zn2 0.6245 0.6245 0.6245
Zn3 0.6245 0.6245 0.1266
Zn4 0.6245 0.1266 0.6245
Cu1 0.2500 0.2500 0.2500
Mg1 0.0000 0.0000 0.0000

Calculated values
ΔE_f in eV per formula unit: -0.16
Space-group type: F-43m
M_tot in μB per atom: 0.00
Crystal system: cubic


The following is a PBE-GGA calculation of MgZnCu after structural relaxation, from the Alexandria database.

Lattice parameters (Å, degrees): 6.0109 6.0109 6.0109 90.00 90.00 90.00
Positions (direct):
Cu1 0.7499 0.7499 0.7499
Cu2 0.2500 0.2500 0.7501
Cu3 0.2500 0.7501 0.2500
Cu4 0.7501 0.2500 0.2500
Zn1 0.5000 0.0000 0.5000
Zn2 0.0000 0.5000 0.5000
Zn3 0.0000 0.0000 0.0000
Zn4 0.5000 0.5000 0.0000
Mg1 0.0000 0.5000 0.0000
Mg2 0.5000 0.0000 0.0000
Mg3 0.0000 0.0000 0.5000
Mg4 0.5000 0.5000 0.5000

Calculated values
ΔE_f in eV per formula unit: 0.14
Space-group type: F-43m
M_tot in μB per atom: 0.00
Crystal system: cubic